Computed, not measured: a geometry-optimized Mn2GaF6 structure at the GGA+U level of DFT.

Values from the calculation:
Final energy in eV for the cell shown: -102.22
Total magnetic moment in Bohr magnetons per cell: 18.89
N(E_F) in states/eV/cell: 5.74
V in Å³/atom: 13.87

abc: 4.9770 4.9770 10.0800
angles: 90.00 90.00 90.00
Last column: nearest neighbours and their distance in Å.
Sites, in units of the cell vectors:
Mn (0.0000, 0.0000, 0.1667)  6 F 2.14-2.17
Mn (0.0000, 0.0000, 0.8333)  6 F 2.14-2.17
Mn (0.5000, 0.5000, 0.3333)  6 F 2.14-2.17
Mn (0.5000, 0.5000, 0.6667)  6 F 2.14-2.17
Ga (0.0000, 0.0000, 0.5000)  6 F 2.14-2.18
Ga (0.5000, 0.5000, 0.0000)  6 F 2.14-2.18
F (0.1955, 0.1955, 0.0000)  1 Ga 2.14, 2 Mn 2.17
F (0.1956, 0.1956, 0.3328)  2 Mn 2.14-2.17, 1 Ga 2.18
F (0.1956, 0.1956, 0.6672)  2 Mn 2.14-2.17, 1 Ga 2.18
F (0.3044, 0.6956, 0.1672)  2 Mn 2.14-2.17, 1 Ga 2.18
F (0.3045, 0.6955, 0.5000)  1 Ga 2.14, 2 Mn 2.17
F (0.3044, 0.6956, 0.8328)  2 Mn 2.14-2.17, 1 Ga 2.18
F (0.6956, 0.3044, 0.1672)  2 Mn 2.14-2.17, 1 Ga 2.18
F (0.6955, 0.3045, 0.5000)  1 Ga 2.14, 2 Mn 2.17
F (0.6956, 0.3044, 0.8328)  2 Mn 2.14-2.17, 1 Ga 2.18
F (0.8045, 0.8045, 0.0000)  1 Ga 2.14, 2 Mn 2.17
F (0.8044, 0.8044, 0.3328)  2 Mn 2.14-2.17, 1 Ga 2.18
F (0.8044, 0.8044, 0.6672)  2 Mn 2.14-2.17, 1 Ga 2.18